A) A relaxed structure of BePdPb3, computed with PBE-GGA.

a = 5.3540 Å, b = 5.3540 Å, c = 5.3540 Å
α = 90.00°, β = 90.00°, γ = 90.00°
Space group Pm-3m (No. 221)
Asymmetric unit:
Be 0.0000 0.0000 0.0000 [1 per cell]
Pd 0.5000 0.5000 0.5000 [1 per cell]
Pb 0.0000 0.5000 0.5000 [3 per cell]

Results
crystal system	cubic

---

B) A relaxed structure of BePdPb3, computed with PBE-GGA.

a = 5.0045 Å, b = 5.0045 Å, c = 5.0045 Å
α = 90.00°, β = 90.00°, γ = 90.00°
Space group Pm-3m (No. 221)
Asymmetric unit:
Be 0.0000 0.0000 0.0000 [1 per cell]
Pd 0.5000 0.5000 0.5000 [1 per cell]
Pb 0.0000 0.0000 0.5000 [3 per cell]

Results
crystal system	cubic

---

Most stable: B)

---

A) A relaxed structure of Be2PdPb2, computed with PBE-GGA.

a = 5.3848 Å, b = 5.3848 Å, c = 6.6898 Å
α = 90.00°, β = 90.00°, γ = 90.00°
Space group I4/mmm (No. 139)
Asymmetric unit:
Be 0.0000 0.0000 0.1572 [4 per cell]
Pd 0.0000 0.0000 0.5000 [2 per cell]
Pb 0.0000 0.5000 0.2500 [4 per cell]

Results
crystal system	tetragonal

---

B) A relaxed structure of Be2PdPb2, computed with PBE-GGA.

a = 6.6445 Å, b = 6.6445 Å, c = 4.0717 Å
α = 90.00°, β = 90.00°, γ = 90.00°
Space group P4/mbm (No. 127)
Asymmetric unit:
Be 0.1228 0.3772 0.0000 [4 per cell]
Pd 0.0000 0.0000 0.0000 [2 per cell]
Pb 0.1815 0.6815 0.5000 [4 per cell]

Results
crystal system	tetragonal

---

Most stable: B)